# 1
Here is a relaxed structure of LiEuNiPb from the Alexandria database. Energies are from PBE.

POSCAR file:
```
LiEuNiPb
1.0
0.0000 3.4356 3.4356
3.4356 0.0000 3.4356
3.4356 3.4356 0.0000
Li Eu Ni Pb
1 1 1 1
direct
0.0000 0.0000 0.0000
0.2500 0.2500 0.2500
0.5000 0.5000 0.5000
0.7500 0.7500 0.7500
```

## Properties
Mass density = 8.7 g/cm3
VASP energy = -5.6345 eV/atom
SG = F-43m
N(E_F) = 11.708 states/eV/f.u.



# 2
Here is a relaxed structure of LiEuNiPd from the Alexandria database. Energies are from PBE.

POSCAR file:
```
LiEuNiPd
1.0
0.0000 3.2672 3.2672
3.2672 0.0000 3.2672
3.2672 3.2672 0.0000
Li Eu Ni Pd
1 1 1 1
direct
0.0000 0.0000 0.0000
0.2500 0.2500 0.2500
0.5000 0.5000 0.5000
0.7500 0.7500 0.7500
```

## Properties
Mass density = 7.7 g/cm3
VASP energy = -5.9596 eV/atom
SG = F-43m
N(E_F) = 12.117 states/eV/f.u.



# 3
Here is a relaxed structure of LiPmEuNi from the Alexandria database. Energies are from PBE.

POSCAR file:
```
LiPmEuNi
1.0
0.0000 3.5973 3.5973
3.5973 0.0000 3.5973
3.5973 3.5973 0.0000
Li Pm Eu Ni
1 1 1 1
direct
0.0000 0.0000 0.0000
0.2500 0.2500 0.2500
0.7500 0.7500 0.7500
0.5000 0.5000 0.5000
```

## Properties
Mass density = 6.5 g/cm3
VASP energy = -5.6830 eV/atom
SG = F-43m
N(E_F) = 5.037 states/eV/f.u.